Record 1
# K3LaBi

K3LaBi at its PBEsol-relaxed geometry (SCAN, Alexandria via LeMat-Bulk).

Output
The calculation puts the total energy at -142.44 eV per cell. The space group is No. 221. The calculation puts the formation enthalpy at 0 K at 0.85 eV per atom.

Geometry as CIF:
```
data_K3LaBi
_chemical_formula_sum 'K3 La1 Bi1'
_space_group_name_H-M_alt 'P 1'
_space_group_IT_number 1
_cell_length_a 6.296
_cell_length_b 6.296
_cell_length_c 6.296
_cell_angle_alpha 90.00
_cell_angle_beta 90.00
_cell_angle_gamma 90.00
loop_
_space_group_symop_operation_xyz
'x,y,z'
loop_
_atom_site_label
_atom_site_type_symbol
_atom_site_fract_x
_atom_site_fract_y
_atom_site_fract_z
Bi1 Bi 0.500 0.500 0.500
K1 K 0.000 0.000 0.500
K2 K 0.000 0.500 0.000
K3 K 0.500 0.000 0.000
La1 La 0.000 0.000 0.000
```

---

Record 2
# YMnTe2

YMnTe2 at its PBEsol-relaxed geometry (SCAN, Alexandria via LeMat-Bulk).

Output
The uncorrected formation energy comes out at -23.9 kcal/mol of atoms. The calculation puts the total energy at -124.75 eV per cell. The space group is No. 38.

Geometry as CIF:
```
data_YMnTe2
_chemical_formula_sum 'Y1 Mn1 Te2'
_space_group_name_H-M_alt 'P 1'
_space_group_IT_number 1
_cell_length_a 3.987
_cell_length_b 4.024
_cell_length_c 6.781
_cell_angle_alpha 90.00
_cell_angle_beta 107.09
_cell_angle_gamma 90.00
loop_
_space_group_symop_operation_xyz
'x,y,z'
loop_
_atom_site_label
_atom_site_type_symbol
_atom_site_fract_x
_atom_site_fract_y
_atom_site_fract_z
Te1 Te 0.981 0.000 0.837
Te2 Te 0.713 0.500 0.302
Y1 Y 0.300 0.000 0.475
Mn1 Mn 0.506 0.500 0.886
```

---

Record 3
# BaH2O2

BaH2O2 at its PBEsol-relaxed geometry (SCAN, Alexandria via LeMat-Bulk).

Output
The calculation puts the total energy at -1369.83 eV per cell. The space group is No. 62.

Geometry as CIF:
```
data_BaH2O2
_chemical_formula_sum 'Ba20 H40 O40'
_space_group_name_H-M_alt 'P 1'
_space_group_IT_number 1
_cell_length_a 6.971
_cell_length_b 10.635
_cell_length_c 16.397
_cell_angle_alpha 90.00
_cell_angle_beta 90.00
_cell_angle_gamma 90.00
loop_
_space_group_symop_operation_xyz
'x,y,z'
loop_
_atom_site_label
_atom_site_type_symbol
_atom_site_fract_x
_atom_site_fract_y
_atom_site_fract_z
H1 H 0.954 0.939 0.646
H2 H 0.546 0.439 0.854
H3 H 0.251 0.115 0.073
H4 H 0.251 0.115 0.427
H5 H 0.249 0.615 0.073
H6 H 0.898 0.156 0.250
H7 H 0.757 0.222 0.157
H8 H 0.743 0.722 0.157
H9 H 0.454 0.561 0.146
H10 H 0.264 0.559 0.250
H11 H 0.243 0.778 0.843
H12 H 0.749 0.885 0.927
H13 H 0.434 0.744 0.332
H14 H 0.257 0.278 0.657
H15 H 0.249 0.615 0.427
H16 H 0.764 0.941 0.750
H17 H 0.751 0.385 0.573
H18 H 0.566 0.256 0.832
H19 H 0.066 0.244 0.168
H20 H 0.398 0.344 0.750
H21 H 0.934 0.756 0.832
H22 H 0.749 0.885 0.573
H23 H 0.236 0.059 0.250
H24 H 0.934 0.756 0.668
H25 H 0.546 0.439 0.646
H26 H 0.454 0.561 0.354
H27 H 0.757 0.222 0.343
H28 H 0.434 0.744 0.168
H29 H 0.743 0.722 0.343
H30 H 0.602 0.656 0.250
H31 H 0.102 0.844 0.750
H32 H 0.257 0.278 0.843
H33 H 0.954 0.939 0.854
H34 H 0.046 0.061 0.146
H35 H 0.566 0.256 0.668
H36 H 0.751 0.385 0.927
H37 H 0.066 0.244 0.332
H38 H 0.736 0.441 0.750
H39 H 0.046 0.061 0.354
H40 H 0.243 0.778 0.657
O1 O 0.154 0.254 0.120
O2 O 0.895 0.249 0.250
O3 O 0.605 0.749 0.250
O4 O 0.463 0.513 0.857
O5 O 0.662 0.217 0.112
O6 O 0.838 0.717 0.388
O7 O 0.204 0.562 0.026
O8 O 0.796 0.438 0.974
O9 O 0.846 0.746 0.880
O10 O 0.296 0.062 0.026
O11 O 0.037 0.013 0.857
O12 O 0.126 0.541 0.250
O13 O 0.537 0.487 0.143
O14 O 0.463 0.513 0.643
O15 O 0.704 0.938 0.526
O16 O 0.338 0.783 0.888
O17 O 0.105 0.751 0.750
O18 O 0.162 0.283 0.888
O19 O 0.874 0.459 0.750
O20 O 0.537 0.487 0.357
O21 O 0.704 0.938 0.974
O22 O 0.162 0.283 0.612
O23 O 0.154 0.254 0.380
O24 O 0.296 0.062 0.474
O25 O 0.796 0.438 0.526
O26 O 0.963 0.987 0.143
O27 O 0.838 0.717 0.112
O28 O 0.662 0.217 0.388
O29 O 0.346 0.754 0.120
O30 O 0.346 0.754 0.380
O31 O 0.037 0.013 0.643
O32 O 0.626 0.959 0.750
O33 O 0.654 0.246 0.620
O34 O 0.846 0.746 0.620
O35 O 0.374 0.041 0.250
O36 O 0.395 0.251 0.750
O37 O 0.963 0.987 0.357
O38 O 0.204 0.562 0.474
O39 O 0.654 0.246 0.880
O40 O 0.338 0.783 0.612
Ba1 Ba 0.923 0.163 0.984
Ba2 Ba 0.077 0.837 0.484
Ba3 Ba 0.930 0.196 0.750
Ba4 Ba 0.584 0.967 0.124
Ba5 Ba 0.916 0.467 0.376
Ba6 Ba 0.430 0.304 0.250
Ba7 Ba 0.084 0.533 0.624
Ba8 Ba 0.084 0.533 0.876
Ba9 Ba 0.416 0.033 0.876
Ba10 Ba 0.423 0.337 0.016
Ba11 Ba 0.584 0.967 0.376
Ba12 Ba 0.077 0.837 0.016
Ba13 Ba 0.570 0.696 0.750
Ba14 Ba 0.416 0.033 0.624
Ba15 Ba 0.070 0.804 0.250
Ba16 Ba 0.916 0.467 0.124
Ba17 Ba 0.577 0.663 0.984
Ba18 Ba 0.923 0.163 0.516
Ba19 Ba 0.577 0.663 0.516
Ba20 Ba 0.423 0.337 0.484
```

---

Record 4
# Tl4V2O7

Tl4V2O7 at its PBEsol-relaxed geometry (SCAN, Alexandria via LeMat-Bulk).

Output
The uncorrected formation energy comes out at -42.8 kcal/mol of atoms. The calculation puts the total energy at -392.18 eV per cell. The space group is No. 164.

Geometry as CIF:
```
data_Tl4V2O7
_chemical_formula_sum 'Tl4 V2 O7'
_space_group_name_H-M_alt 'P 1'
_space_group_IT_number 1
_cell_length_a 5.909
_cell_length_b 5.909
_cell_length_c 7.665
_cell_angle_alpha 90.00
_cell_angle_beta 90.00
_cell_angle_gamma 120.00
loop_
_space_group_symop_operation_xyz
'x,y,z'
loop_
_atom_site_label
_atom_site_type_symbol
_atom_site_fract_x
_atom_site_fract_y
_atom_site_fract_z
Tl1 Tl 0.333 0.667 0.588
Tl2 Tl 0.667 0.333 0.412
Tl3 Tl 0.667 0.333 0.920
Tl4 Tl 0.333 0.667 0.080
V1 V 0.000 0.000 0.266
V2 V 0.000 0.000 0.734
O1 O 0.000 0.000 0.500
O2 O 0.315 0.157 0.196
O3 O 0.685 0.843 0.804
O4 O 0.157 0.315 0.804
O5 O 0.843 0.685 0.196
O6 O 0.843 0.157 0.196
O7 O 0.157 0.843 0.804
```

---

Record 5
# SiHg2Pb

SiHg2Pb at its PBEsol-relaxed geometry (SCAN, Alexandria via LeMat-Bulk).

Output
The value obtained for the energy above the most stable polymorph in this dataset is 160.4 meV/atom. The uncorrected formation energy comes out at 10.0 kcal/mol of atoms. The calculation puts the total energy at -220.39 eV per cell. The space group is No. 216.

Geometry as CIF:
```
data_SiHg2Pb
_chemical_formula_sum 'Si1 Hg2 Pb1'
_space_group_name_H-M_alt 'P 1'
_space_group_IT_number 1
_cell_length_a 5.073
_cell_length_b 5.073
_cell_length_c 5.073
_cell_angle_alpha 60.00
_cell_angle_beta 60.00
_cell_angle_gamma 60.00
loop_
_space_group_symop_operation_xyz
'x,y,z'
loop_
_atom_site_label
_atom_site_type_symbol
_atom_site_fract_x
_atom_site_fract_y
_atom_site_fract_z
Hg1 Hg 0.750 0.750 0.750
Hg2 Hg 0.000 0.000 0.000
Pb1 Pb 0.500 0.500 0.500
Si1 Si 0.250 0.250 0.250
```

---

Record 6
# SrTcCl2

SrTcCl2 at its PBEsol-relaxed geometry (SCAN, Alexandria via LeMat-Bulk).

Output
The value obtained for the energy above the most stable polymorph in this dataset is 0.0 meV/atom. The uncorrected formation energy comes out at -16.8 kcal/mol of atoms. The calculation puts the total energy at -76.20 eV per cell. The space group is No. 12.

Geometry as CIF:
```
data_SrTcCl2
_chemical_formula_sum 'Sr1 Tc1 Cl2'
_space_group_name_H-M_alt 'P 1'
_space_group_IT_number 1
_cell_length_a 3.552
_cell_length_b 5.145
_cell_length_c 5.599
_cell_angle_alpha 91.37
_cell_angle_beta 90.00
_cell_angle_gamma 110.20
loop_
_space_group_symop_operation_xyz
'x,y,z'
loop_
_atom_site_label
_atom_site_type_symbol
_atom_site_fract_x
_atom_site_fract_y
_atom_site_fract_z
Cl1 Cl 0.693 0.387 0.757
Cl2 Cl 0.307 0.613 0.243
Sr1 Sr 0.000 0.000 0.000
Tc1 Tc 0.500 0.000 0.500
```

---

Record 7
# Al2GeSe

Al2GeSe at its PBEsol-relaxed geometry (SCAN, Alexandria via LeMat-Bulk).

Output
The uncorrected formation energy comes out at -9.7 kcal/mol of atoms. The calculation puts the total energy at -112.69 eV per cell. The space group is No. 122.

Geometry as CIF:
```
data_Al2GeSe
_chemical_formula_sum 'Al4 Ge2 Se2'
_space_group_name_H-M_alt 'P 1'
_space_group_IT_number 1
_cell_length_a 5.712
_cell_length_b 5.712
_cell_length_c 7.056
_cell_angle_alpha 113.88
_cell_angle_beta 113.88
_cell_angle_gamma 90.00
loop_
_space_group_symop_operation_xyz
'x,y,z'
loop_
_atom_site_label
_atom_site_type_symbol
_atom_site_fract_x
_atom_site_fract_y
_atom_site_fract_z
Al1 Al 0.625 0.608 0.750
Al2 Al 0.392 0.875 0.250
Al3 Al 0.125 0.142 0.750
Al4 Al 0.858 0.375 0.250
Ge1 Ge 0.750 0.250 0.500
Ge2 Ge 0.500 0.500 0.000
Se1 Se 0.250 0.750 0.500
Se2 Se 0.000 0.000 0.000
```

---

Record 8
# NaVN2

NaVN2 at its PBEsol-relaxed geometry (SCAN, Alexandria via LeMat-Bulk).

Output
The uncorrected formation energy comes out at -21.6 kcal/mol of atoms. The calculation puts the total energy at -88.05 eV per cell. The space group is No. 122.

Geometry as CIF:
```
data_NaVN2
_chemical_formula_sum 'Na2 V2 N4'
_space_group_name_H-M_alt 'P 1'
_space_group_IT_number 1
_cell_length_a 5.124
_cell_length_b 5.470
_cell_length_c 5.124
_cell_angle_alpha 62.07
_cell_angle_beta 90.00
_cell_angle_gamma 117.93
loop_
_space_group_symop_operation_xyz
'x,y,z'
loop_
_atom_site_label
_atom_site_type_symbol
_atom_site_fract_x
_atom_site_fract_y
_atom_site_fract_z
N1 N 0.875 0.250 0.733
N2 N 0.375 0.250 0.017
N3 N 0.017 0.750 0.875
N4 N 0.733 0.750 0.375
V1 V 0.750 0.500 0.750
V2 V 0.000 0.000 0.000
Na1 Na 0.250 0.500 0.250
Na2 Na 0.500 0.000 0.500
```

---

Record 9
# HfPbC3

HfPbC3 at its PBEsol-relaxed geometry (SCAN, Alexandria via LeMat-Bulk).

Output
The calculation puts the total energy at -153.65 eV per cell. The space group is No. 221. The calculation puts the formation enthalpy at 0 K at 3.02 eV per atom.

Geometry as CIF:
```
data_HfPbC3
_chemical_formula_sum 'Hf1 Pb1 C3'
_space_group_name_H-M_alt 'P 1'
_space_group_IT_number 1
_cell_length_a 4.221
_cell_length_b 4.221
_cell_length_c 4.221
_cell_angle_alpha 90.00
_cell_angle_beta 90.00
_cell_angle_gamma 90.00
loop_
_space_group_symop_operation_xyz
'x,y,z'
loop_
_atom_site_label
_atom_site_type_symbol
_atom_site_fract_x
_atom_site_fract_y
_atom_site_fract_z
Pb1 Pb 0.000 0.000 0.000
C1 C 0.000 0.000 0.500
C2 C 0.000 0.500 0.000
C3 C 0.500 0.000 0.000
Hf1 Hf 0.500 0.500 0.500
```

---

Record 10
# ZnCuRh2

ZnCuRh2 at its PBEsol-relaxed geometry (SCAN, Alexandria via LeMat-Bulk).

Output
The calculation puts the total energy at -96.67 eV per cell. The space group is No. 12. The calculation puts the formation enthalpy at 0 K at -0.10 eV per atom.

Geometry as CIF:
```
data_ZnCuRh2
_chemical_formula_sum 'Zn1 Cu1 Rh2'
_space_group_name_H-M_alt 'P 1'
_space_group_IT_number 1
_cell_length_a 2.686
_cell_length_b 2.686
_cell_length_c 8.476
_cell_angle_alpha 80.97
_cell_angle_beta 80.97
_cell_angle_gamma 59.97
loop_
_space_group_symop_operation_xyz
'x,y,z'
loop_
_atom_site_label
_atom_site_type_symbol
_atom_site_fract_x
_atom_site_fract_y
_atom_site_fract_z
Rh1 Rh 0.750 0.750 0.750
Rh2 Rh 0.250 0.250 0.250
Cu1 Cu 0.000 0.000 0.000
Zn1 Zn 0.500 0.500 0.500
```

---

Record 11
# SbTeW

SbTeW at its PBEsol-relaxed geometry (SCAN, Alexandria via LeMat-Bulk).

Output
The value obtained for the energy above the most stable polymorph in this dataset is 1140.5 meV/atom. The uncorrected formation energy comes out at 34.8 kcal/mol of atoms. The calculation puts the total energy at -139.67 eV per cell. The space group is No. 216.

Geometry as CIF:
```
data_SbTeW
_chemical_formula_sum 'Sb1 Te1 W1'
_space_group_name_H-M_alt 'P 1'
_space_group_IT_number 1
_cell_length_a 4.714
_cell_length_b 4.714
_cell_length_c 4.714
_cell_angle_alpha 60.00
_cell_angle_beta 60.00
_cell_angle_gamma 60.00
loop_
_space_group_symop_operation_xyz
'x,y,z'
loop_
_atom_site_label
_atom_site_type_symbol
_atom_site_fract_x
_atom_site_fract_y
_atom_site_fract_z
Sb1 Sb 0.250 0.250 0.250
W1 W 0.500 0.500 0.500
Te1 Te 0.000 0.000 0.000
```

---

Record 12
# FeSiTc2

FeSiTc2 at its PBEsol-relaxed geometry (SCAN, Alexandria via LeMat-Bulk).

Output
The uncorrected formation energy comes out at -6.9 kcal/mol of atoms. The calculation puts the total energy at -99.47 eV per cell. The space group is No. 123.

Geometry as CIF:
```
data_FeSiTc2
_chemical_formula_sum 'Fe1 Si1 Tc2'
_space_group_name_H-M_alt 'P 1'
_space_group_IT_number 1
_cell_length_a 2.915
_cell_length_b 2.915
_cell_length_c 5.914
_cell_angle_alpha 90.00
_cell_angle_beta 90.00
_cell_angle_gamma 90.00
loop_
_space_group_symop_operation_xyz
'x,y,z'
loop_
_atom_site_label
_atom_site_type_symbol
_atom_site_fract_x
_atom_site_fract_y
_atom_site_fract_z
Si1 Si 0.500 0.500 0.500
Tc1 Tc 0.000 0.000 0.255
Tc2 Tc 0.000 0.000 0.745
Fe1 Fe 0.500 0.500 0.000
```